(1)
# MnAl2Fe PBE optimized geometry
# crystal system: tetragonal
# V: 14.5 Å³/atom
# electronic total energy: -96.88 eV per cell
# magnetic moment: 18.6 μB/cell
# E_form: 0.9 eV per formula unit
data_MnAl2Fe
_cell_length_a 6.6398
_cell_length_b 6.6398
_cell_length_c 5.2615
_cell_angle_alpha 90.00
_cell_angle_beta 90.00
_cell_angle_gamma 90.00
_symmetry_space_group_name_H-M 'I -4 2 d'
_symmetry_Int_Tables_number 122
_symmetry_space_group_name_Hall 'I -4 2bw'
loop_
_atom_site_label
_atom_site_type_symbol
_atom_site_fract_x
_atom_site_fract_y
_atom_site_fract_z
Mn1 Mn 0.0000 0.0000 0.0000
Al1 Al 0.2424 0.7500 0.6250
Fe1 Fe 0.0000 0.0000 0.5000

(2)
# NaPrHoGa PBE optimized geometry
# crystal system: cubic
# V: 26.6 Å³/atom
# electronic total energy: -56.85 eV per cell
# magnetic moment: 0.0 μB/cell
# E_form: -0.5 eV per formula unit
data_NaPrHoGa
_cell_length_a 7.5212
_cell_length_b 7.5212
_cell_length_c 7.5212
_cell_angle_alpha 90.00
_cell_angle_beta 90.00
_cell_angle_gamma 90.00
_symmetry_space_group_name_H-M 'F -4 3 m'
_symmetry_Int_Tables_number 216
_symmetry_space_group_name_Hall 'F -4 2 3'
loop_
_atom_site_label
_atom_site_type_symbol
_atom_site_fract_x
_atom_site_fract_y
_atom_site_fract_z
Na1 Na 0.0000 0.0000 0.0000
Pr1 Pr 0.2500 0.2500 0.7500
Ho1 Ho 0.2500 0.2500 0.2500
Ga1 Ga 0.0000 0.0000 0.5000

(3)
# SiP2SO PBE optimized geometry
# crystal system: tetragonal
# formation energy without anion corrections: -4 meV/atom
# V: 14.6 Å³/atom
# electronic total energy: -25.35 eV per cell
# magnetic moment: 0.0 μB/cell
data_SiP2SO
_cell_length_a 4.6950
_cell_length_b 4.6950
_cell_length_c 3.3131
_cell_angle_alpha 90.00
_cell_angle_beta 90.00
_cell_angle_gamma 90.00
_symmetry_space_group_name_H-M 'P 4/m m m'
_symmetry_Int_Tables_number 123
_symmetry_space_group_name_Hall '-P 4 2'
loop_
_atom_site_label
_atom_site_type_symbol
_atom_site_fract_x
_atom_site_fract_y
_atom_site_fract_z
Si1 Si 0.0000 0.0000 0.0000
P1 P 0.0000 0.5000 0.0000
S1 S 0.5000 0.5000 0.5000
O1 O 0.0000 0.0000 0.5000

(4)
# Ho3ErTh3 PBE optimized geometry
# crystal system: monoclinic
# V: 31.9 Å³/atom
# electronic total energy: -80.56 eV per cell
# magnetic moment: 0.0 μB/cell
# E_form: 0.3 eV per formula unit
data_Ho3ErTh3
_cell_length_a 9.4211
_cell_length_b 5.8149
_cell_length_c 9.4216
_cell_angle_alpha 90.00
_cell_angle_beta 119.99
_cell_angle_gamma 90.00
_symmetry_space_group_name_H-M 'P 1 21/m 1'
_symmetry_Int_Tables_number 11
loop_
_symmetry_equiv_pos_as_xyz
'x,y,z'
'-x,-y,-z'
'-x,y+1/2,-z'
'x,-y+1/2,z'
loop_
_atom_site_label
_atom_site_type_symbol
_atom_site_fract_x
_atom_site_fract_y
_atom_site_fract_z
Ho1 Ho 0.0289 0.2500 0.4084
Ho2 Ho 0.1206 0.7500 0.0287
Ho3 Ho 0.4083 0.7500 0.8793
Er1 Er 0.1666 0.2500 0.8331
Th1 Th 0.2650 0.7500 0.4521
Th2 Th 0.3123 0.2500 0.2642
Th3 Th 0.4522 0.2500 0.6868

(5)
# Ce6Tl2Pt PBE optimized geometry
# crystal system: hexagonal
# V: 27.9 Å³/atom
# electronic total energy: -49.37 eV per cell
# magnetic moment: 4.8 μB/cell
# E_form: -3.0 eV per formula unit
data_Ce6Tl2Pt
_cell_length_a 8.9111
_cell_length_b 8.9111
_cell_length_c 3.6458
_cell_angle_alpha 90.00
_cell_angle_beta 90.00
_cell_angle_gamma 120.00
_symmetry_space_group_name_H-M 'P -6 2 m'
_symmetry_Int_Tables_number 189
_symmetry_space_group_name_Hall 'P -6 -2'
loop_
_atom_site_label
_atom_site_type_symbol
_atom_site_fract_x
_atom_site_fract_y
_atom_site_fract_z
Ce1 Ce 0.0000 0.2552 0.0000
Ce2 Ce 0.0000 0.6110 0.5000
Tl1 Tl 0.3333 0.6667 0.0000
Pt1 Pt 0.0000 0.0000 0.5000

(6)
# Ba2CdAsPd6 PBE optimized geometry
# crystal system: monoclinic
# V: 23.6 Å³/atom
# electronic total energy: -91.84 eV per cell
# magnetic moment: 0.0 μB/cell
# E_form: -5.4 eV per formula unit
data_Ba2CdAsPd6
_cell_length_a 12.2179
_cell_length_b 5.8053
_cell_length_c 8.5799
_cell_angle_alpha 90.00
_cell_angle_beta 129.17
_cell_angle_gamma 90.00
_symmetry_space_group_name_H-M 'C 1 2/m 1'
_symmetry_Int_Tables_number 12
loop_
_symmetry_equiv_pos_as_xyz
'x,y,z'
'-x,-y,-z'
'-x,y,-z'
'x,-y,z'
'x+1/2,y+1/2,z'
'-x+1/2,-y+1/2,-z'
'-x+1/2,y+1/2,-z'
'x+1/2,-y+1/2,z'
loop_
_atom_site_label
_atom_site_type_symbol
_atom_site_fract_x
_atom_site_fract_y
_atom_site_fract_z
Ba1 Ba 0.2415 0.0000 0.2027
Cd1 Cd 0.0000 0.5000 0.0000
As1 As 0.0000 0.0000 0.5000
Pd1 Pd 0.0245 0.2601 0.2982
Pd2 Pd 0.2494 0.0000 0.6125

(7)
# Os4Ru5 PBE optimized geometry
# crystal system: hexagonal
# V: 14.4 Å³/atom
# electronic total energy: -177.37 eV per cell
# magnetic moment: 0.0 μB/cell
# E_form: 2.6 eV per formula unit
data_Os4Ru5
_cell_length_a 7.4567
_cell_length_b 7.4567
_cell_length_c 5.3928
_cell_angle_alpha 90.00
_cell_angle_beta 90.00
_cell_angle_gamma 120.00
_symmetry_space_group_name_H-M 'P 63/m c m'
_symmetry_Int_Tables_number 193
_symmetry_space_group_name_Hall '-P 6c 2'
loop_
_atom_site_label
_atom_site_type_symbol
_atom_site_fract_x
_atom_site_fract_y
_atom_site_fract_z
Os1 Os 0.0000 0.0000 0.0000
Os2 Os 0.0000 0.3329 0.2500
Ru1 Ru 0.0000 0.3334 0.7500
Ru2 Ru 0.3333 0.6667 0.0000

(8)
# CrReOs PBE optimized geometry
# crystal system: orthorhombic
# V: 13.9 Å³/atom
# electronic total energy: -65.95 eV per cell
# magnetic moment: 0.0 μB/cell
# E_form: 0.3 eV per formula unit
data_CrReOs
_cell_length_a 2.7100
_cell_length_b 3.7917
_cell_length_c 8.0890
_cell_angle_alpha 90.00
_cell_angle_beta 90.00
_cell_angle_gamma 90.00
_symmetry_space_group_name_H-M 'I m m 2'
_symmetry_Int_Tables_number 44
loop_
_symmetry_equiv_pos_as_xyz
'x,y,z'
'-x,-y,z'
'-x,y,z'
'x,-y,z'
'x+1/2,y+1/2,z+1/2'
'-x+1/2,-y+1/2,z+1/2'
'-x+1/2,y+1/2,z+1/2'
'x+1/2,-y+1/2,z+1/2'
loop_
_atom_site_label
_atom_site_type_symbol
_atom_site_fract_x
_atom_site_fract_y
_atom_site_fract_z
Cr1 Cr 0.0000 0.0000 0.0000
Re1 Re 0.0000 0.0000 0.3326
Os1 Os 0.0000 0.0000 0.6617

(9)
# Ce4Zn5Tc2 PBE optimized geometry
# crystal system: monoclinic
# V: 21.8 Å³/atom
# electronic total energy: -52.37 eV per cell
# magnetic moment: 0.0 μB/cell
# E_form: -1.5 eV per formula unit
data_Ce4Zn5Tc2
_cell_length_a 7.0785
_cell_length_b 3.7651
_cell_length_c 9.0362
_cell_angle_alpha 90.00
_cell_angle_beta 95.53
_cell_angle_gamma 90.00
_symmetry_space_group_name_H-M 'P 1 2/m 1'
_symmetry_Int_Tables_number 10
loop_
_symmetry_equiv_pos_as_xyz
'x,y,z'
'-x,-y,-z'
'-x,y,-z'
'x,-y,z'
loop_
_atom_site_label
_atom_site_type_symbol
_atom_site_fract_x
_atom_site_fract_y
_atom_site_fract_z
Ce1 Ce 0.1692 0.0000 0.3527
Ce2 Ce 0.2387 0.0000 0.9449
Zn1 Zn 0.2083 0.5000 0.6499
Zn2 Zn 0.4538 0.5000 0.1924
Zn3 Zn 0.5000 0.5000 0.5000
Tc1 Tc 0.0690 0.5000 0.1635

(10)
# AcZrHg2 PBE optimized geometry
# crystal system: tetragonal
# V: 26.9 Å³/atom
# electronic total energy: -14.09 eV per cell
# magnetic moment: 0.0 μB/cell
# E_form: -0.8 eV per formula unit
data_AcZrHg2
_cell_length_a 3.7043
_cell_length_b 3.7043
_cell_length_c 7.8303
_cell_angle_alpha 90.00
_cell_angle_beta 90.00
_cell_angle_gamma 90.00
_symmetry_space_group_name_H-M 'P 4/m m m'
_symmetry_Int_Tables_number 123
_symmetry_space_group_name_Hall '-P 4 2'
loop_
_atom_site_label
_atom_site_type_symbol
_atom_site_fract_x
_atom_site_fract_y
_atom_site_fract_z
Ac1 Ac 0.0000 0.0000 0.0000
Zr1 Zr 0.0000 0.0000 0.5000
Hg1 Hg 0.5000 0.5000 0.2939

(11)
# ZnHgAs2 PBE optimized geometry
# crystal system: cubic
# V: 20.2 Å³/atom
# electronic total energy: -36.52 eV per cell
# magnetic moment: 0.0 μB/cell
# E_form: 1.7 eV per formula unit
data_ZnHgAs2
_cell_length_a 6.8624
_cell_length_b 6.8624
_cell_length_c 6.8624
_cell_angle_alpha 90.00
_cell_angle_beta 90.00
_cell_angle_gamma 90.00
_symmetry_space_group_name_H-M 'F m -3 m'
_symmetry_Int_Tables_number 225
_symmetry_space_group_name_Hall '-F 4 2 3'
loop_
_atom_site_label
_atom_site_type_symbol
_atom_site_fract_x
_atom_site_fract_y
_atom_site_fract_z
Zn1 Zn 0.0000 0.0000 0.0000
Hg1 Hg 0.0000 0.0000 0.5000
As1 As 0.2500 0.2500 0.2500

(12)
# La4Dy5Sc2 PBE optimized geometry
# crystal system: triclinic
# V: 33.2 Å³/atom
# electronic total energy: -53.68 eV per cell
# magnetic moment: 0.0 μB/cell
# E_form: 1.7 eV per formula unit
data_La4Dy5Sc2
_cell_length_a 3.5375
_cell_length_b 9.4902
_cell_length_c 10.9736
_cell_angle_alpha 83.45
_cell_angle_beta 86.11
_cell_angle_gamma 88.90
_symmetry_space_group_name_H-M 'P -1'
_symmetry_Int_Tables_number 2
loop_
_symmetry_equiv_pos_as_xyz
'x,y,z'
'-x,-y,-z'
loop_
_atom_site_label
_atom_site_type_symbol
_atom_site_fract_x
_atom_site_fract_y
_atom_site_fract_z
La1 La 0.2239 0.3608 0.1653
La2 La 0.2355 0.8383 0.4966
Dy1 Dy 0.0000 0.5000 0.5000
Dy2 Dy 0.2409 0.8514 0.0360
Dy3 Dy 0.3266 0.3386 0.7462
Sc1 Sc 0.2783 0.9800 0.7549

> The highest V belongs to which entry?

La4Dy5Sc2